DFT (PBE-GGA) results for crystalline Ba3NpZn2O8 at its relaxed geometry.

Structure (CIF):
```
data_Ba3NpZn2O8
_cell_length_a 5.9637
_cell_length_b 5.9637
_cell_length_c 7.7328
_cell_angle_alpha 90.00
_cell_angle_beta 90.00
_cell_angle_gamma 120.00
_symmetry_space_group_name_H-M 'P -3 m 1'
_symmetry_Int_Tables_number 164
_symmetry_space_group_name_Hall '-P 3 2"'
loop_
_atom_site_label
_atom_site_type_symbol
_atom_site_fract_x
_atom_site_fract_y
_atom_site_fract_z
Ba1 Ba 0.0000 0.0000 0.0000
Ba2 Ba 0.3333 0.6667 0.6622
Np1 Np 0.0000 0.0000 0.5000
Zn1 Zn 0.3333 0.6667 0.2065
O1 O 0.1621 0.3241 0.3407
O2 O 0.3333 0.6667 0.9697
```

- DFT total energy: -94.0 eV per cell
- ρ: 6.33 g/cm3
- Magnetic moment: 0.070 μB/atom

---

DFT (PBE-GGA) results for crystalline Be2InBr at its relaxed geometry.

Structure (CIF):
```
data_Be2InBr
_cell_length_a 4.158
_cell_length_b 5.130
_cell_length_c 7.754
_cell_angle_alpha 90.00
_cell_angle_beta 90.00
_cell_angle_gamma 90.00
_symmetry_space_group_name_H-M 'C m m 2'
_symmetry_Int_Tables_number 35
_symmetry_space_group_name_Hall 'C 2 -2'
loop_
_atom_site_label
_atom_site_type_symbol
_atom_site_fract_x
_atom_site_fract_y
_atom_site_fract_z
Be1 Be 0.000 0.000 0.000
Be2 Be 0.000 0.500 0.091
In1 In 0.000 0.500 0.765
Br1 Br 0.000 0.000 0.296
```

- Energy above the most stable polymorph in this dataset: 0.51 eV per formula unit
- ρ: 4.27 g/cm3
- Magnetic moment: 0.000 μB/atom

---

DFT (PBE-GGA) results for crystalline PdRuPt at its relaxed geometry.

Structure (CIF):
```
data_PdRuPt
_cell_length_a 4.785
_cell_length_b 8.260
_cell_length_c 4.790
_cell_angle_alpha 90.00
_cell_angle_beta 109.38
_cell_angle_gamma 90.00
_symmetry_space_group_name_H-M 'C 1 2/c 1'
_symmetry_Int_Tables_number 15
_symmetry_space_group_name_Hall '-C 2yc'
loop_
_atom_site_label
_atom_site_type_symbol
_atom_site_fract_x
_atom_site_fract_y
_atom_site_fract_z
Pd1 Pd 0.000 0.084 0.250
Ru1 Ru 0.000 0.253 0.750
Pt1 Pt 0.000 0.412 0.250
```

- Energy above the most stable polymorph in this dataset: 0.07 eV per formula unit
- Formation energy: 0.261 eV/f.u.
- ρ: 14.97 g/cm3
- Magnetic moment: 0.005 μB/atom

---

DFT (PBE-GGA) results for crystalline TaBePSe2 at its relaxed geometry.

Structure (CIF):
```
data_TaBePSe2
_cell_length_a 4.654
_cell_length_b 4.654
_cell_length_c 3.961
_cell_angle_alpha 90.00
_cell_angle_beta 90.00
_cell_angle_gamma 90.00
_symmetry_space_group_name_H-M 'P 4/m m m'
_symmetry_Int_Tables_number 123
_symmetry_space_group_name_Hall '-P 4 2'
loop_
_atom_site_label
_atom_site_type_symbol
_atom_site_fract_x
_atom_site_fract_y
_atom_site_fract_z
Ta1 Ta 0.000 0.000 0.000
Be1 Be 0.500 0.500 0.500
P1 P 0.500 0.500 0.000
Se1 Se 0.000 0.500 0.500
```

- Energy above the most stable polymorph in this dataset: 0.00 eV per formula unit
- ρ: 7.33 g/cm3
- Magnetic moment: 0.000 μB/atom

---

DFT (PBE-GGA) results for crystalline TbMgInAg at its relaxed geometry.

Structure (CIF):
```
data_TbMgInAg
_cell_length_a 7.152
_cell_length_b 7.152
_cell_length_c 7.152
_cell_angle_alpha 90.00
_cell_angle_beta 90.00
_cell_angle_gamma 90.00
_symmetry_space_group_name_H-M 'F -4 3 m'
_symmetry_Int_Tables_number 216
_symmetry_space_group_name_Hall 'F -4 2 3'
loop_
_atom_site_label
_atom_site_type_symbol
_atom_site_fract_x
_atom_site_fract_y
_atom_site_fract_z
Tb1 Tb 0.000 0.000 0.000
Mg1 Mg 0.000 0.000 0.500
In1 In 0.250 0.250 0.750
Ag1 Ag 0.250 0.250 0.250
```

- Formation energy: -1.414 eV/f.u.
- ρ: 7.37 g/cm3
- Magnetic moment: 0.000 μB/atom

---

DFT (PBE-GGA) results for crystalline YMg2Fe at its relaxed geometry.

Structure (CIF):
```
data_YMg2Fe
_cell_length_a 3.338
_cell_length_b 3.338
_cell_length_c 7.743
_cell_angle_alpha 90.00
_cell_angle_beta 90.00
_cell_angle_gamma 90.00
_symmetry_space_group_name_H-M 'P 4 m m'
_symmetry_Int_Tables_number 99
_symmetry_space_group_name_Hall 'P 4 -2'
loop_
_atom_site_label
_atom_site_type_symbol
_atom_site_fract_x
_atom_site_fract_y
_atom_site_fract_z
Y1 Y 0.000 0.000 0.000
Mg1 Mg 0.000 0.000 0.410
Mg2 Mg 0.500 0.500 0.673
Fe1 Fe 0.500 0.500 0.222
```

- Formation energy: 0.456 eV/f.u.
- ρ: 3.72 g/cm3
- Magnetic moment: 0.449 μB/atom

---

DFT (PBE-GGA) results for crystalline La2ZrCo at its relaxed geometry.

Structure (CIF):
```
data_La2ZrCo
_cell_length_a 3.464
_cell_length_b 5.081
_cell_length_c 5.392
_cell_angle_alpha 90.00
_cell_angle_beta 90.00
_cell_angle_gamma 90.00
_symmetry_space_group_name_H-M 'P m m m'
_symmetry_Int_Tables_number 47
_symmetry_space_group_name_Hall '-P 2 2'
loop_
_atom_site_label
_atom_site_type_symbol
_atom_site_fract_x
_atom_site_fract_y
_atom_site_fract_z
La1 La 0.000 0.000 0.000
La2 La 0.500 0.000 0.500
Zr1 Zr 0.000 0.500 0.500
Co1 Co 0.500 0.500 0.000
```

- Energy above the most stable polymorph in this dataset: 1.52 eV per formula unit
- Formation energy: 1.541 eV/f.u.
- ρ: 7.49 g/cm3
- Magnetic moment: 0.101 μB/atom

---

DFT (PBE-GGA) results for crystalline Nb2CSe at its relaxed geometry.

Structure (CIF):
```
data_Nb2CSe
_cell_length_a 3.3037
_cell_length_b 3.3037
_cell_length_c 18.8950
_cell_angle_alpha 90.00
_cell_angle_beta 90.00
_cell_angle_gamma 120.00
_symmetry_space_group_name_H-M 'R 3 m'
_symmetry_Int_Tables_number 160
_symmetry_space_group_name_Hall 'R 3 -2"'
loop_
_atom_site_label
_atom_site_type_symbol
_atom_site_fract_x
_atom_site_fract_y
_atom_site_fract_z
Nb1 Nb 0.0000 0.0000 0.0000
Nb2 Nb 0.0000 0.0000 0.2109
C1 C 0.0000 0.0000 0.6040
Se1 Se 0.0000 0.0000 0.4353
```

- DFT total energy: -105.5 eV per cell
- ρ: 7.72 g/cm3
- Magnetic moment: 0.000 μB/atom

---

DFT (PBE-GGA) results for crystalline LiSmThTl at its relaxed geometry.

Structure (CIF):
```
data_LiSmThTl
_cell_length_a 7.638
_cell_length_b 7.638
_cell_length_c 7.638
_cell_angle_alpha 90.00
_cell_angle_beta 90.00
_cell_angle_gamma 90.00
_symmetry_space_group_name_H-M 'F -4 3 m'
_symmetry_Int_Tables_number 216
_symmetry_space_group_name_Hall 'F -4 2 3'
loop_
_atom_site_label
_atom_site_type_symbol
_atom_site_fract_x
_atom_site_fract_y
_atom_site_fract_z
Li1 Li 0.000 0.000 0.000
Sm1 Sm 0.250 0.250 0.250
Th1 Th 0.250 0.250 0.750
Tl1 Tl 0.000 0.000 0.500
```

- Formation energy: -0.161 eV/f.u.
- ρ: 8.85 g/cm3
- Magnetic moment: 0.000 μB/atom

---

DFT (PBE-GGA) results for crystalline ZrTe2Br at its relaxed geometry.

Structure (CIF):
```
data_ZrTe2Br
_cell_length_a 4.250
_cell_length_b 5.272
_cell_length_c 10.075
_cell_angle_alpha 90.00
_cell_angle_beta 90.00
_cell_angle_gamma 90.00
_symmetry_space_group_name_H-M 'C m m m'
_symmetry_Int_Tables_number 65
_symmetry_space_group_name_Hall '-C 2 2'
loop_
_atom_site_label
_atom_site_type_symbol
_atom_site_fract_x
_atom_site_fract_y
_atom_site_fract_z
Zr1 Zr 0.000 0.000 0.000
Te1 Te 0.000 0.500 0.202
Br1 Br 0.000 0.000 0.500
```

- Energy above the most stable polymorph in this dataset: 1.43 eV per formula unit
- ρ: 6.27 g/cm3
- Magnetic moment: 0.000 μB/atom

---

DFT (PBE-GGA) results for crystalline Nd3Mg4In at its relaxed geometry.

Structure (CIF):
```
data_Nd3Mg4In
_cell_length_a 3.333
_cell_length_b 11.030
_cell_length_c 12.440
_cell_angle_alpha 90.00
_cell_angle_beta 90.00
_cell_angle_gamma 90.00
_symmetry_space_group_name_H-M 'I m m m'
_symmetry_Int_Tables_number 71
_symmetry_space_group_name_Hall '-I 2 2'
loop_
_atom_site_label
_atom_site_type_symbol
_atom_site_fract_x
_atom_site_fract_y
_atom_site_fract_z
Nd1 Nd 0.000 0.000 0.000
Nd2 Nd 0.000 0.500 0.237
Mg1 Mg 0.000 0.248 0.375
In1 In 0.000 0.000 0.500
```

- Formation energy: -0.278 eV/f.u.
- ρ: 4.68 g/cm3
- Magnetic moment: 0.000 μB/atom

---

DFT (PBE-GGA) results for crystalline Os at its relaxed geometry.

Structure (CIF):
```
data_Os
_cell_length_a 7.2028
_cell_length_b 7.2028
_cell_length_c 4.2283
_cell_angle_alpha 90.00
_cell_angle_beta 90.00
_cell_angle_gamma 120.00
_symmetry_space_group_name_H-M 'P 63/m'
_symmetry_Int_Tables_number 176
_symmetry_space_group_name_Hall '-P 6c'
loop_
_atom_site_label
_atom_site_type_symbol
_atom_site_fract_x
_atom_site_fract_y
_atom_site_fract_z
Os1 Os 0.0461 0.8070 0.2500
Os2 Os 0.1123 0.6235 0.7500
```

- Energy above the most stable polymorph in this dataset: 0.40 eV per formula unit
- Formation energy: 0.397 eV/f.u.
- ρ: 19.95 g/cm3
- Magnetic moment: 0.000 μB/atom

---

Question: What is the magnetic moment in the twelfth record?
Answer: 0.000 μB/atom